Entry 1:
GGA-PBE Er2ZnCo2, relaxed; space-group type = C2/c, No. 15; E_form = -0.32 eV/atom; N(E_F) = 4.7 states/eV/cell
1.0
5.247 0.000 0.000
-2.624 4.712 0.085
0.000 -2.031 7.215
Er Zn Co
4 2 4
Direct
0.493 0.291 0.145
0.203 0.709 0.355
0.507 0.709 0.855
0.797 0.291 0.645
0.864 0.000 0.250
0.136 0.000 0.750
0.703 0.709 0.492
0.994 0.291 0.008
0.297 0.291 0.508
0.006 0.709 0.992


Entry 2:
GGA-PBE Er5Zn2Co2, relaxed; space-group type = Cmce, No. 64; E_form = -0.24 eV/atom; N(E_F) = 13.2 states/eV/cell
1.0
6.663 0.000 2.419
0.000 7.244 0.000
0.684 0.000 8.502
Er Zn Co
10 4 4
Direct
0.000 0.000 0.000
0.500 0.500 0.000
0.443 0.183 0.746
0.811 0.817 0.746
0.311 0.683 0.746
0.943 0.317 0.746
0.557 0.817 0.254
0.189 0.183 0.254
0.689 0.317 0.254
0.057 0.683 0.254
0.220 0.000 0.560
0.720 0.500 0.560
0.780 0.000 0.440
0.280 0.500 0.440
0.108 0.386 0.000
0.892 0.614 0.000
0.392 0.886 0.000
0.608 0.114 0.000


Entry 3:
GGA-PBE ErZn2Co, relaxed; space-group type = R-3m, No. 166; E_form = -0.14 eV/atom; N(E_F) = 3.8 states/eV/cell
1.0
4.107 0.000 0.000
2.053 3.556 0.000
2.053 1.185 4.833
Zn Co Er
2 1 1
Direct
0.791 0.791 0.628
0.209 0.209 0.372
0.500 0.500 0.500
0.000 0.000 0.000


Entry 4:
GGA-PBE ErZn7Co5, relaxed; space-group type = Cm, No. 8; E_form = -0.15 eV/atom; N(E_F) = 9.6 states/eV/cell
1.0
-1.736 4.634 -0.014
-2.224 1.805 5.860
4.626 4.357 1.472
Er Zn Co
1 7 5
Direct
0.018 0.982 0.982
0.673 0.328 0.328
0.348 0.651 0.651
0.991 0.353 0.664
0.991 0.664 0.353
0.273 0.227 0.227
0.499 0.789 0.215
0.499 0.215 0.789
0.491 0.999 0.511
0.999 0.999 0.511
0.491 0.511 0.999
0.999 0.511 0.999
0.729 0.771 0.771


Entry 5:
GGA-PBE ErZnCo2, relaxed; space-group type = Pmma, No. 51; E_form = 0.06 eV/atom; N(E_F) = 15.5 states/eV/cell
1.0
4.695 0.000 0.000
0.000 5.223 0.000
0.000 0.000 11.671
Er Zn Co
4 4 8
Direct
0.000 0.250 0.591
0.500 0.750 0.107
0.000 0.750 0.409
0.500 0.250 0.893
0.500 0.750 0.679
0.500 0.250 0.321
0.000 0.250 0.310
0.000 0.750 0.690
0.000 0.000 0.000
0.500 0.500 0.500
0.260 0.750 0.871
0.740 0.250 0.129
0.740 0.750 0.871
0.260 0.250 0.129
0.000 0.500 0.000
0.500 0.000 0.500


Entry 6:
GGA-PBE Er4Zn3Co, relaxed; space-group type = P4/mmm, No. 123; E_form = -0.32 eV/atom; N(E_F) = 6.9 states/eV/cell
1.0
3.459 0.000 0.000
0.000 3.459 0.000
0.000 0.000 14.094
Zn Co Er
3 1 4
Direct
0.500 0.500 0.245
0.500 0.500 0.500
0.500 0.500 0.755
0.500 0.500 0.000
0.000 0.000 0.887
0.000 0.000 0.113
0.000 0.000 0.372
0.000 0.000 0.628


Entry 7:
GGA-PBE Er3Zn3Co2, relaxed; space-group type = Pnma, No. 62; E_form = -0.30 eV/atom; N(E_F) = 19.3 states/eV/cell
1.0
-3.924 3.715 -0.034
-4.938 -5.211 0.435
0.572 0.746 15.428
Er Zn Co
12 12 8
Direct
0.113 0.465 0.393
0.613 0.035 0.607
0.887 0.535 0.893
0.387 0.965 0.107
0.887 0.535 0.607
0.387 0.965 0.393
0.113 0.465 0.107
0.613 0.035 0.893
0.643 0.333 0.250
0.143 0.167 0.750
0.357 0.667 0.750
0.857 0.833 0.250
0.129 0.177 0.250
0.629 0.323 0.750
0.871 0.823 0.750
0.371 0.677 0.250
0.600 0.331 0.467
0.100 0.169 0.533
0.400 0.669 0.967
0.900 0.831 0.033
0.400 0.669 0.533
0.900 0.831 0.467
0.600 0.331 0.033
0.100 0.169 0.967
0.877 0.126 0.386
0.377 0.374 0.614
0.123 0.874 0.886
0.623 0.626 0.114
0.123 0.874 0.614
0.623 0.626 0.386
0.877 0.126 0.114
0.377 0.374 0.886


Entry 8:
GGA-PBE ErZn8Co2, relaxed; space-group type = P4/mmm, No. 123; E_form = 0.23 eV/atom; N(E_F) = 8.5 states/eV/cell
1.0
6.164 0.000 0.000
0.000 6.164 0.000
0.000 0.000 5.203
Er Zn Co
1 8 2
Direct
0.500 0.500 0.500
0.788 0.788 0.242
0.788 0.212 0.758
0.788 0.788 0.758
0.788 0.212 0.242
0.212 0.788 0.242
0.212 0.788 0.758
0.212 0.212 0.242
0.212 0.212 0.758
0.500 0.000 0.000
0.000 0.500 0.000


Entry 9:
GGA-PBE Er12ZnCo6, relaxed; space-group type = Im-3, No. 204; energy above the most stable polymorph in this dataset = 0.0000 eV/atom; E_form = -0.22 eV/atom; N(E_F) = 15.7 states/eV/cell
1.0
7.768 0.000 -2.746
-3.884 6.727 -2.746
0.000 0.000 8.239
Er Zn Co
12 1 6
Direct
0.301 0.107 0.807
0.301 0.494 0.193
0.699 0.506 0.807
0.699 0.893 0.193
0.107 0.807 0.301
0.494 0.193 0.301
0.506 0.807 0.699
0.893 0.193 0.699
0.807 0.301 0.107
0.193 0.301 0.494
0.807 0.699 0.506
0.193 0.699 0.893
0.000 0.000 0.000
0.385 0.500 0.885
0.615 0.500 0.115
0.500 0.885 0.385
0.500 0.115 0.615
0.885 0.385 0.500
0.115 0.615 0.500


Entry 10:
GGA-PBE ErZnCo2, relaxed; space-group type = P4/mmm, No. 123; E_form = -0.05 eV/atom; N(E_F) = 5.9 states/eV/cell
1.0
-0.733 3.012 -1.551
1.469 -1.472 -3.554
-3.747 -1.408 -0.965
Zn Co Er
1 2 1
Direct
0.500 0.000 0.000
0.000 0.000 0.500
0.000 0.500 0.000
0.500 0.500 0.500


Entry 11:
GGA-PBE ErZn2Co9, relaxed; space-group type = P4/mbm, No. 127; E_form = -0.10 eV/atom; N(E_F) = 32.2 states/eV/cell
1.0
4.755 0.000 0.000
0.000 8.012 0.000
0.000 0.000 8.012
Er Zn Co
2 4 18
Direct
0.000 0.500 0.500
0.000 0.000 0.000
0.000 0.619 0.119
0.000 0.381 0.881
0.000 0.119 0.381
0.000 0.881 0.619
0.500 0.500 0.000
0.500 0.000 0.500
0.500 0.710 0.568
0.500 0.290 0.432
0.500 0.210 0.932
0.500 0.790 0.068
0.500 0.432 0.710
0.500 0.568 0.290
0.500 0.068 0.210
0.500 0.932 0.790
0.764 0.822 0.322
0.764 0.178 0.678
0.764 0.322 0.178
0.764 0.678 0.822
0.236 0.178 0.678
0.236 0.822 0.322
0.236 0.678 0.822
0.236 0.322 0.178


Entry 12:
GGA-PBE Er2Zn5Co5, relaxed; space-group type = Pmmm, No. 47; E_form = -0.17 eV/atom; N(E_F) = 10.6 states/eV/cell
1.0
4.049 0.000 0.000
0.000 5.015 0.000
0.000 0.000 8.855
Er Zn Co
2 5 5
Direct
0.000 0.500 0.000
0.000 0.000 0.500
0.000 0.500 0.331
0.000 0.000 0.824
0.000 0.000 0.176
0.000 0.500 0.669
0.500 0.000 0.000
0.500 0.500 0.500
0.500 0.754 0.260
0.500 0.246 0.740
0.500 0.246 0.260
0.500 0.754 0.740


Please write out number 9 again, unchanged.
GGA-PBE Er12ZnCo6, relaxed; space-group type = Im-3, No. 204; energy above the most stable polymorph in this dataset = 0.0000 eV/atom; E_form = -0.22 eV/atom; N(E_F) = 15.7 states/eV/cell
1.0
7.768 0.000 -2.746
-3.884 6.727 -2.746
0.000 0.000 8.239
Er Zn Co
12 1 6
Direct
0.301 0.107 0.807
0.301 0.494 0.193
0.699 0.506 0.807
0.699 0.893 0.193
0.107 0.807 0.301
0.494 0.193 0.301
0.506 0.807 0.699
0.893 0.193 0.699
0.807 0.301 0.107
0.193 0.301 0.494
0.807 0.699 0.506
0.193 0.699 0.893
0.000 0.000 0.000
0.385 0.500 0.885
0.615 0.500 0.115
0.500 0.885 0.385
0.500 0.115 0.615
0.885 0.385 0.500
0.115 0.615 0.500


What did the first record say?
GGA-PBE Er2ZnCo2, relaxed; space-group type = C2/c, No. 15; E_form = -0.32 eV/atom; N(E_F) = 4.7 states/eV/cell
1.0
5.247 0.000 0.000
-2.624 4.712 0.085
0.000 -2.031 7.215
Er Zn Co
4 2 4
Direct
0.493 0.291 0.145
0.203 0.709 0.355
0.507 0.709 0.855
0.797 0.291 0.645
0.864 0.000 0.250
0.136 0.000 0.750
0.703 0.709 0.492
0.994 0.291 0.008
0.297 0.291 0.508
0.006 0.709 0.992


- Which of these has the highest N(E_F)?
  ErZn2Co9